Entry from Alexandria: a geometry-optimized BaMg4Ag structure (PBE).

POSCAR file:
```
BaMg4Ag
1.0
-2.014 -3.767 1.672
-0.687 -2.964 -7.506
8.089 -3.961 0.823
Mg Ag Ba
8 2 2
direct
0.500 0.724 0.062
0.500 0.276 0.562
0.500 0.724 0.438
0.000 0.000 0.000
0.000 0.000 0.500
0.500 0.276 0.938
0.500 0.951 0.750
0.500 0.049 0.250
0.000 0.814 0.250
0.000 0.186 0.750
0.000 0.598 0.750
0.000 0.402 0.250
```

energy relative to the lowest polymorph listed for this composition: 0.0 meV/atom
calculated volume: 28.00 A^3/atom
final energy: -11.97 eV per formula unit
DOS at the Fermi energy: 3.995 states/eV/f.u.
calculated formation energy: -137 meV/atom